1.
Computed, not measured: a relaxed Sm2MgAl3 crystal at the PBE level of DFT.

a = 5.7888 Å, b = 5.7888 Å, c = 9.1698 Å
α = 90.00°, β = 90.00°, γ = 120.00°
Fractional positions:
Sm 0.3333 0.6667 0.0727
Sm 0.3333 0.6667 0.4273
Sm 0.6667 0.3333 0.5727
Sm 0.6667 0.3333 0.9273
Mg 0.0000 0.0000 0.0000
Mg 0.0000 0.0000 0.5000
Al 0.1747 0.3495 0.7500
Al 0.1747 0.8253 0.7500
Al 0.3495 0.1747 0.2500
Al 0.6505 0.8253 0.7500
Al 0.8253 0.1747 0.2500
Al 0.8253 0.6505 0.2500

Values from the calculation:
Raw total energy   -0.151 Ha/atom
Energy of formation   -0.404 eV per atom
Excess energy over the best structure of this formula in the dataset   0.000 eV/atom

---

2.
Computed, not measured: a relaxed BaPSeBr2 crystal at the PBE level of DFT.

a = 5.1747 Å, b = 5.1747 Å, c = 5.3430 Å
α = 90.00°, β = 90.00°, γ = 90.00°
Fractional positions:
Ba 0.0000 0.0000 0.0000
P 0.5000 0.5000 0.5000
Se 0.5000 0.5000 0.0000
Br 0.0000 0.5000 0.5000
Br 0.5000 0.0000 0.5000

Values from the calculation:
Raw total energy   -0.136 Ha/atom
Excess energy over the best structure of this formula in the dataset   0.000 eV/atom
Formation energy (no corrections)   -421 kJ/mol of formula units

---

3.
Computed, not measured: a relaxed Li2TiB2O6 crystal at the PBE level of DFT.

a = 5.0070 Å, b = 6.8841 Å, c = 8.1079 Å
α = 69.20°, β = 88.93°, γ = 89.89°
Fractional positions:
Li 0.1229 0.2795 0.0923
Li 0.3215 0.4258 0.3918
Li 0.6785 0.5742 0.6082
Li 0.8771 0.7205 0.9077
Ti 0.3824 0.0988 0.7453
Ti 0.6176 0.9012 0.2547
B 0.1717 0.8409 0.3864
B 0.3521 0.6939 0.0477
B 0.6479 0.3061 0.9523
B 0.8283 0.1591 0.6136
O 0.0994 0.1957 0.5851
O 0.2316 0.5176 0.1425
O 0.2489 0.8373 0.8918
O 0.2783 0.0300 0.2760
O 0.3677 0.6933 0.4469
O 0.4027 0.2407 0.8967
O 0.5973 0.7593 0.1033
O 0.6323 0.3067 0.5531
O 0.7217 0.9700 0.7240
O 0.7511 0.1627 0.1082
O 0.7684 0.4824 0.8575
O 0.9006 0.8043 0.4149

Values from the calculation:
Raw total energy   -0.275 Ha/atom
Formation energy (no corrections)   -2655 kJ/mol of formula units

---

4.
Computed, not measured: a relaxed LaGa5Ni2Ir crystal at the PBE level of DFT.

a = 4.6772 Å, b = 4.6772 Å, c = 7.1482 Å
α = 90.00°, β = 90.00°, γ = 90.00°
Fractional positions:
La 0.0000 0.0000 0.0000
Ga 0.0000 0.5000 0.3129
Ga 0.0000 0.5000 0.6871
Ga 0.5000 0.0000 0.3129
Ga 0.5000 0.0000 0.6871
Ga 0.5000 0.5000 0.0000
Ni 0.5000 0.5000 0.3189
Ni 0.5000 0.5000 0.6811
Ir 0.0000 0.0000 0.5000

Values from the calculation:
Raw total energy   -0.177 Ha/atom
Energy of formation   -0.329 eV per atom

---

5.
Computed, not measured: a relaxed KCu6S4 crystal at the PBE level of DFT.

a = 7.1979 Å, b = 7.1979 Å, c = 3.7492 Å
α = 90.00°, β = 90.00°, γ = 120.00°
Fractional positions:
K 0.0000 0.0000 0.0000
Cu 0.0921 0.5460 0.0000
Cu 0.4085 0.2042 0.5000
Cu 0.4540 0.5460 0.0000
Cu 0.4540 0.9079 0.0000
Cu 0.7958 0.2042 0.5000
Cu 0.7958 0.5915 0.5000
S 0.1834 0.3667 0.5000
S 0.1834 0.8166 0.5000
S 0.6333 0.8166 0.5000
S 0.6667 0.3333 0.0000

Values from the calculation:
Raw total energy   -0.146 Ha/atom
Formation energy (no corrections)   -136 kJ/mol of formula units

---

6.
Computed, not measured: a relaxed CaMo3 crystal at the PBE level of DFT.

a = 4.6342 Å, b = 4.6342 Å, c = 4.6342 Å
α = 60.00°, β = 60.00°, γ = 60.00°
Fractional positions:
Ca 0.0000 0.0000 0.0000
Mo 0.2500 0.2500 0.2500
Mo 0.5000 0.5000 0.5000
Mo 0.7500 0.7500 0.7500

Values from the calculation:
Raw total energy   -0.290 Ha/atom
Energy of formation   0.734 eV per atom
Excess energy over the best structure of this formula in the dataset   0.260 eV/atom

---

7.
Computed, not measured: a relaxed ZrTaIn2 crystal at the PBE level of DFT.

a = 3.1263 Å, b = 3.1263 Å, c = 9.4381 Å
α = 90.00°, β = 90.00°, γ = 107.76°
Fractional positions:
Zr 0.0000 0.0000 0.0000
Ta 0.5000 0.5000 0.7656
In 0.0000 0.0000 0.5249
In 0.5000 0.5000 0.2614

Values from the calculation:
Raw total energy   -0.234 Ha/atom
Energy of formation   0.100 eV per atom
Excess energy over the best structure of this formula in the dataset   0.130 eV/atom

---

8.
Computed, not measured: a relaxed CaTl2Se crystal at the PBE level of DFT.

a = 4.3217 Å, b = 4.3217 Å, c = 6.5316 Å
α = 90.00°, β = 90.00°, γ = 90.41°
Fractional positions:
Ca 0.0000 0.0000 0.0000
Tl 0.2594 0.7406 0.5000
Tl 0.7406 0.2594 0.5000
Se 0.5000 0.5000 0.0000

Values from the calculation:
Raw total energy   -0.117 Ha/atom
Formation energy (no corrections)   -239 kJ/mol of formula units

---

9.
Computed, not measured: a relaxed Rb3BiH2 crystal at the PBE level of DFT.

a = 4.8550 Å, b = 5.9962 Å, c = 14.3550 Å
α = 90.22°, β = 90.19°, γ = 90.00°
Fractional positions:
Rb 0.2443 0.2513 0.0881
Rb 0.2479 0.7523 0.3999
Rb 0.2496 0.7472 0.6644
Rb 0.7504 0.2528 0.3356
Rb 0.7521 0.2477 0.6001
Rb 0.7557 0.7487 0.9119
Bi 0.2597 0.2478 0.8192
Bi 0.7403 0.7522 0.1808
H 0.1283 0.7575 0.1927
H 0.2500 0.2510 0.4539
H 0.7500 0.7490 0.5461
H 0.8717 0.2425 0.8073

Values from the calculation:
Raw total energy   -0.089 Ha/atom

---

10.
Computed, not measured: a relaxed La2TbSi3Pt4 crystal at the PBE level of DFT.

a = 4.3246 Å, b = 4.3246 Å, c = 10.8488 Å
α = 90.00°, β = 90.00°, γ = 90.00°
Fractional positions:
La 0.0000 0.5000 0.2291
La 0.5000 0.0000 0.7709
Tb 0.0000 0.0000 0.5000
Si 0.0000 0.5000 0.8837
Si 0.5000 0.0000 0.1163
Si 0.5000 0.5000 0.5000
Pt 0.0000 0.0000 0.0000
Pt 0.0000 0.5000 0.6608
Pt 0.5000 0.0000 0.3392
Pt 0.5000 0.5000 0.0000

Values from the calculation:
Raw total energy   -0.241 Ha/atom
Formation energy (no corrections)   -1039 kJ/mol of formula units

---

11.
Computed, not measured: a relaxed ThTaFe2H8 crystal at the PBE level of DFT.

a = 5.9799 Å, b = 5.9799 Å, c = 5.9799 Å
α = 43.91°, β = 43.91°, γ = 43.91°
Fractional positions:
Th 0.0000 0.0000 0.0000
Ta 0.5000 0.5000 0.5000
Fe 0.2150 0.2150 0.2150
Fe 0.7850 0.7850 0.7850
H 0.1064 0.5563 0.5563
H 0.3128 0.3128 0.3128
H 0.4437 0.4437 0.8936
H 0.4437 0.8936 0.4437
H 0.5563 0.1064 0.5563
H 0.5563 0.5563 0.1064
H 0.6872 0.6872 0.6872
H 0.8936 0.4437 0.4437

Values from the calculation:
Raw total energy   -0.199 Ha/atom

---

12.
Computed, not measured: a relaxed BiTe2O crystal at the PBE level of DFT.

a = 8.4345 Å, b = 8.4345 Å, c = 8.4345 Å
α = 29.57°, β = 29.57°, γ = 29.57°
Fractional positions:
Bi 0.0000 0.0000 0.0000
Te 0.4162 0.4162 0.4162
Te 0.5838 0.5838 0.5838
O 0.5000 0.5000 0.5000

Values from the calculation:
Raw total energy   -0.141 Ha/atom
Excess energy over the best structure of this formula in the dataset   0.000 eV/atom
Formation energy (no corrections)   -26 kJ/mol of formula units

---

13.
Computed, not measured: a relaxed Ca3SmTe4 crystal at the PBE level of DFT.

a = 7.7901 Å, b = 7.7901 Å, c = 4.4723 Å
α = 90.00°, β = 90.00°, γ = 109.31°
Fractional positions:
Ca 0.0000 0.0000 0.0000
Ca 0.0000 0.5000 0.5000
Ca 0.5000 0.0000 0.5000
Sm 0.5000 0.5000 0.0000
Te 0.2502 0.2502 0.5000
Te 0.2505 0.7495 0.0000
Te 0.7495 0.2505 0.0000
Te 0.7498 0.7498 0.5000

Values from the calculation:
Raw total energy   -0.165 Ha/atom
Formation energy (no corrections)   -1209 kJ/mol of formula units

---

14.
Computed, not measured: a relaxed NaPmBe2F8 crystal at the PBE level of DFT.

a = 6.4629 Å, b = 6.4629 Å, c = 6.4629 Å
α = 49.61°, β = 49.61°, γ = 49.61°
Fractional positions:
Na 0.0000 0.0000 0.0000
Pm 0.5000 0.5000 0.5000
Be 0.2636 0.2636 0.2636
Be 0.7364 0.7364 0.7364
F 0.0237 0.4801 0.8005
F 0.1995 0.9763 0.5199
F 0.3537 0.3537 0.3537
F 0.4801 0.8005 0.0237
F 0.5199 0.1995 0.9763
F 0.6463 0.6463 0.6463
F 0.8005 0.0237 0.4801
F 0.9763 0.5199 0.1995

Values from the calculation:
Raw total energy   -0.212 Ha/atom
Formation energy (no corrections)   -3942 kJ/mol of formula units

---

15.
Computed, not measured: a relaxed KRuBr2 crystal at the PBE level of DFT.

a = 6.9875 Å, b = 6.9875 Å, c = 6.9875 Å
α = 35.35°, β = 35.35°, γ = 35.35°
Fractional positions:
K 0.0000 0.0000 0.0000
Ru 0.5000 0.5000 0.5000
Br 0.2245 0.2245 0.2245
Br 0.7755 0.7755 0.7755

Values from the calculation:
Raw total energy   -0.134 Ha/atom
Excess energy over the best structure of this formula in the dataset   0.079 eV/atom
Formation energy (no corrections)   -81 kJ/mol of formula units

---

16.
Computed, not measured: a relaxed Zr2PSe crystal at the PBE level of DFT.

a = 7.2805 Å, b = 7.2805 Å, c = 7.2805 Å
α = 131.72°, β = 131.72°, γ = 70.68°
Fractional positions:
Zr 0.1050 0.6250 0.9800
Zr 0.3750 0.3550 0.4800
Zr 0.6450 0.1250 0.0200
Zr 0.8750 0.8950 0.5200
P 0.0000 0.0000 0.0000
P 0.7500 0.2500 0.5000
Se 0.2500 0.7500 0.5000
Se 0.5000 0.5000 0.0000

Values from the calculation:
Raw total energy   -0.264 Ha/atom
Excess energy over the best structure of this formula in the dataset   0.662 eV/atom
Formation energy (no corrections)   -261 kJ/mol of formula units

---

17.
Computed, not measured: a relaxed TlBi2TeAu crystal at the PBE level of DFT.

a = 5.6058 Å, b = 5.6058 Å, c = 5.6601 Å
α = 90.00°, β = 90.00°, γ = 90.00°
Fractional positions:
Tl 0.0000 0.0000 0.0000
Bi 0.0000 0.5000 0.5000
Bi 0.5000 0.0000 0.5000
Te 0.5000 0.5000 0.0000
Au 0.5000 0.5000 0.5000

Values from the calculation:
Raw total energy   -0.111 Ha/atom
Formation energy (no corrections)   144 kJ/mol of formula units

---

18.
Computed, not measured: a relaxed Zn5Br4 crystal at the PBE level of DFT.

a = 8.9623 Å, b = 8.9623 Å, c = 8.9623 Å
α = 92.71°, β = 92.71°, γ = 154.90°
Fractional positions:
Zn 0.0000 0.0000 0.0000
Zn 0.2954 0.2954 0.5907
Zn 0.2954 0.7046 0.0000
Zn 0.7046 0.2954 0.0000
Zn 0.7046 0.7046 0.4093
Br 0.0000 0.2025 0.2025
Br 0.0000 0.7975 0.7975
Br 0.2025 0.0000 0.2025
Br 0.7975 0.0000 0.7975

Values from the calculation:
Raw total energy   -0.061 Ha/atom
Formation energy (no corrections)   -176 kJ/mol of formula units

---

19.
Computed, not measured: a relaxed ZnRe2Cl2 crystal at the PBE level of DFT.

a = 7.7655 Å, b = 7.7655 Å, c = 7.7655 Å
α = 150.57°, β = 150.57°, γ = 42.10°
Fractional positions:
Zn 0.0000 0.0000 0.0000
Re 0.2500 0.7500 0.5000
Re 0.7500 0.2500 0.5000
Cl 0.3440 0.3440 0.0000
Cl 0.6560 0.6560 0.0000

Values from the calculation:
Raw total energy   -0.177 Ha/atom
Excess energy over the best structure of this formula in the dataset   0.000 eV/atom
Formation energy (no corrections)   558 kJ/mol of formula units

---

20.
Computed, not measured: a relaxed Ba2LiAlZn6 crystal at the PBE level of DFT.

a = 6.6417 Å, b = 6.6417 Å, c = 7.1018 Å
α = 117.72°, β = 117.72°, γ = 59.98°
Fractional positions:
Ba 0.2070 0.2070 0.1233
Ba 0.7930 0.7930 0.8767
Li 0.0000 0.0000 0.5000
Al 0.5000 0.5000 0.0000
Zn 0.2431 0.6483 0.6357
Zn 0.2441 0.2441 0.6365
Zn 0.3517 0.7569 0.3643
Zn 0.6483 0.2431 0.6357
Zn 0.7559 0.7559 0.3635
Zn 0.7569 0.3517 0.3643

Values from the calculation:
Raw total energy   -0.069 Ha/atom
Energy of formation   -0.151 eV per atom

---

21.
Computed, not measured: a relaxed CaTl2Ni2 crystal at the PBE level of DFT.

a = 7.4565 Å, b = 7.4565 Å, c = 3.5504 Å
α = 90.00°, β = 90.00°, γ = 90.00°
Fractional positions:
Ca 0.0000 0.0000 0.0000
Ca 0.5000 0.5000 0.0000
Tl 0.1661 0.3339 0.5000
Tl 0.3339 0.8339 0.5000
Tl 0.6661 0.1661 0.5000
Tl 0.8339 0.6661 0.5000
Ni 0.1227 0.6227 0.0000
Ni 0.3773 0.1227 0.0000
Ni 0.6227 0.8773 0.0000
Ni 0.8773 0.3773 0.0000

Values from the calculation:
Raw total energy   -0.133 Ha/atom
Energy of formation   0.046 eV per atom
Excess energy over the best structure of this formula in the dataset   0.030 eV/atom

---

22.
Computed, not measured: a relaxed Cr2CoAg crystal at the PBE level of DFT.

a = 5.3376 Å, b = 5.3376 Å, c = 5.3376 Å
α = 102.58°, β = 102.58°, γ = 124.35°
Fractional positions:
Cr 0.0739 0.6250 0.9489
Cr 0.3750 0.3239 0.4489
Cr 0.6761 0.1250 0.0511
Cr 0.8750 0.9261 0.5511
Co 0.0000 0.0000 0.0000
Co 0.7500 0.2500 0.5000
Ag 0.2500 0.7500 0.5000
Ag 0.5000 0.5000 0.0000

Values from the calculation:
Raw total energy   -0.237 Ha/atom
Energy of formation   0.851 eV per atom
Excess energy over the best structure of this formula in the dataset   0.502 eV/atom

---

23.
Computed, not measured: a relaxed Nd2NiAs4Pd3 crystal at the PBE level of DFT.

a = 4.3739 Å, b = 4.3739 Å, c = 9.9884 Å
α = 90.00°, β = 90.00°, γ = 90.00°
Fractional positions:
Nd 0.0000 0.5000 0.2450
Nd 0.5000 0.0000 0.7550
Ni 0.5000 0.5000 0.0000
As 0.0000 0.0000 0.5000
As 0.0000 0.5000 0.8758
As 0.5000 0.0000 0.1242
As 0.5000 0.5000 0.5000
Pd 0.0000 0.0000 0.0000
Pd 0.0000 0.5000 0.6278
Pd 0.5000 0.0000 0.3722

Values from the calculation:
Raw total energy   -0.212 Ha/atom
Energy of formation   -0.825 eV per atom

---

24.
Computed, not measured: a relaxed NbZnFe3 crystal at the PBE level of DFT.

a = 4.1999 Å, b = 4.1999 Å, c = 4.1999 Å
α = 90.00°, β = 90.00°, γ = 90.00°
Fractional positions:
Nb 0.0000 0.0000 0.0000
Zn 0.5000 0.5000 0.5000
Fe 0.0000 0.5000 0.5000
Fe 0.5000 0.0000 0.5000
Fe 0.5000 0.5000 0.0000

Values from the calculation:
Raw total energy   -0.221 Ha/atom
Energy of formation   1.338 eV per atom
Excess energy over the best structure of this formula in the dataset   0.000 eV/atom